Entry 1:
Below is an optimized crystal structure of GeCN2, with properties calculated at the GGA-PBE level.

- DOS(E_F): 1.03 states/eV/cell
- Energy above the most stable polymorph in this dataset: 706.1 meV/atom
- Raw formation energy: 0.987 eV/atom
- Mass density: 5.225 Mg/m³

Unit cell a=4.7838 b=4.7838 c=6.2585 alpha=90.00 beta=90.00 gamma=90.00
Last column: nearest neighbours and their distance in Å.
Space group I-42d (No. 122)
Symmetry-distinct sites (fractional):
Ge: 0.0000 0.0000 0.0000 [4 per cell]  4 N 2.34
C: 0.0000 0.0000 0.5000 [4 per cell]  4 N 1.53
N: 0.1119 0.2500 0.6250 [8 per cell]  2 C 1.53



Entry 2:
Below is an optimized crystal structure of GeCN2, with properties calculated at the GGA-PBE level.

- DOS(E_F): 0.14 states/eV/cell
- Energy above the most stable polymorph in this dataset: 54.6 meV/atom
- Raw formation energy: 0.335 eV/atom
- Mass density: 3.343 Mg/m³

Unit cell a=3.6267 b=3.6267 c=9.8248 alpha=90.00 beta=90.00 gamma=120.00
Last column: nearest neighbours and their distance in Å.
Space group P6_3/mmc (No. 194)
Symmetry-distinct sites (fractional):
Ge: 0.0000 0.0000 0.0000 [2 per cell]  6 N 2.42
C: 0.3333 0.6667 0.2500 [2 per cell]  2 N 1.24
N: 0.3333 0.6667 0.1239 [4 per cell]  1 C 1.24



Entry 3:
Below is an optimized crystal structure of GeC2N, with properties calculated at the GGA-PBE level.

- DOS(E_F): 6.42 states/eV/cell
- Energy above the most stable polymorph in this dataset: 1520.0 meV/atom
- Raw formation energy: 3.147 eV/atom
- Mass density: 4.929 Mg/m³

Unit cell a=5.3032 b=5.3032 c=5.3032 alpha=90.00 beta=90.00 gamma=90.00
Last column: nearest neighbours and their distance in Å.
Space group Fm-3m (No. 225)
Symmetry-distinct sites (fractional):
Ge: 0.0000 0.0000 0.0000 [4 per cell]  8 C 2.30
C: 0.2500 0.2500 0.2500 [8 per cell]  4 Ge 2.30, 4 N 2.30
N: 0.0000 0.0000 0.5000 [4 per cell]  8 C 2.30



Entry 4:
Below is an optimized crystal structure of GeC3N, with properties calculated at the GGA-PBE level.

- DOS(E_F): 2.25 states/eV/cell
- Energy above the most stable polymorph in this dataset: 532.4 meV/atom
- Raw formation energy: 3.744 eV/atom
- Mass density: 3.394 Mg/m³

Unit cell a=3.9152 b=3.9152 c=3.9152 alpha=90.00 beta=90.00 gamma=90.00
Last column: nearest neighbours and their distance in Å.
Space group Pm-3m (No. 221)
Symmetry-distinct sites (fractional):
Ge: 0.0000 0.0000 0.0000 [1 per cell]  6 C 1.96
C: 0.0000 0.0000 0.5000 [3 per cell]  2 Ge 1.96
N: 0.5000 0.5000 0.5000 [1 per cell]  12 C 2.77